Density functional theory data (PBE) for a relaxed structure of Np3CdSe6.

a b c (Å): 8.952 8.952 6.954
angles (deg): 90.00 90.00 101.82
Fractional coordinates of all 20 atoms:
Np 0.102 0.898 0.500
Np 0.221 0.421 0.418
Np 0.421 0.221 0.918
Np 0.579 0.779 0.418
Np 0.779 0.579 0.918
Np 0.898 0.102 0.000
Cd 0.299 0.701 0.876
Cd 0.701 0.299 0.376
Se 0.045 0.592 0.671
Se 0.132 0.193 0.711
Se 0.193 0.132 0.211
Se 0.276 0.724 0.251
Se 0.408 0.955 0.671
Se 0.473 0.527 0.700
Se 0.527 0.473 0.200
Se 0.592 0.045 0.171
Se 0.724 0.276 0.751
Se 0.807 0.868 0.711
Se 0.868 0.807 0.211
Se 0.955 0.408 0.171

Computed properties:
As for the space group: Cmc2_1, No. 36. As for the crystal system: orthorhombic.


Density functional theory data (PBE) for a relaxed structure of Np3Cd5Se12.

a b c (Å): 14.174 14.174 14.174
angles (deg): 109.47 109.47 109.47
Fractional coordinates of all 80 atoms:
Np 0.125 0.250 0.375
Np 0.125 0.375 0.750
Np 0.250 0.375 0.125
Np 0.250 0.875 0.625
Np 0.375 0.125 0.250
Np 0.375 0.750 0.125
Np 0.625 0.250 0.875
Np 0.625 0.875 0.750
Np 0.750 0.125 0.375
Np 0.750 0.625 0.875
Np 0.875 0.625 0.250
Np 0.875 0.750 0.625
Cd 0.000 0.000 0.000
Cd 0.000 0.000 0.500
Cd 0.000 0.500 0.000
Cd 0.000 0.500 0.500
Cd 0.125 0.750 0.875
Cd 0.125 0.875 0.250
Cd 0.250 0.125 0.875
Cd 0.250 0.625 0.375
Cd 0.375 0.250 0.625
Cd 0.375 0.625 0.750
Cd 0.500 0.000 0.000
Cd 0.500 0.000 0.500
Cd 0.500 0.500 0.000
Cd 0.500 0.500 0.500
Cd 0.625 0.375 0.250
Cd 0.625 0.750 0.375
Cd 0.750 0.375 0.625
Cd 0.750 0.875 0.125
Cd 0.875 0.125 0.750
Cd 0.875 0.250 0.125
Se 0.053 0.226 0.136
Se 0.053 0.328 0.917
Se 0.083 0.636 0.411
Se 0.083 0.947 0.672
Se 0.089 0.726 0.672
Se 0.089 0.864 0.417
Se 0.136 0.053 0.226
Se 0.136 0.583 0.911
Se 0.172 0.226 0.589
Se 0.172 0.447 0.583
Se 0.226 0.136 0.053
Se 0.226 0.589 0.172
Se 0.274 0.328 0.911
Se 0.274 0.447 0.364
Se 0.328 0.911 0.274
Se 0.328 0.917 0.053
Se 0.364 0.274 0.447
Se 0.364 0.589 0.917
Se 0.411 0.083 0.636
Se 0.411 0.828 0.774
Se 0.417 0.089 0.864
Se 0.417 0.828 0.553
Se 0.447 0.364 0.274
Se 0.447 0.583 0.172
Se 0.553 0.417 0.828
Se 0.553 0.636 0.726
Se 0.583 0.172 0.447
Se 0.583 0.911 0.136
Se 0.589 0.172 0.226
Se 0.589 0.917 0.364
Se 0.636 0.411 0.083
Se 0.636 0.726 0.553
Se 0.672 0.083 0.947
Se 0.672 0.089 0.726
Se 0.726 0.553 0.636
Se 0.726 0.672 0.089
Se 0.774 0.411 0.828
Se 0.774 0.864 0.947
Se 0.828 0.553 0.417
Se 0.828 0.774 0.411
Se 0.864 0.417 0.089
Se 0.864 0.947 0.774
Se 0.911 0.136 0.583
Se 0.911 0.274 0.328
Se 0.917 0.053 0.328
Se 0.917 0.364 0.589
Se 0.947 0.672 0.083
Se 0.947 0.774 0.864

Computed properties:
As for the space group: Ia-3d, No. 230. As for the crystal system: cubic.


Density functional theory data (PBE) for a relaxed structure of Sr2NpCdSe5.

a b c (Å): 9.348 9.348 13.197
angles (deg): 90.00 90.00 153.60
Fractional coordinates of all 18 atoms:
Sr 0.105 0.895 0.500
Sr 0.126 0.874 0.135
Sr 0.874 0.126 0.635
Sr 0.895 0.105 0.000
Np 0.211 0.789 0.841
Np 0.789 0.211 0.341
Cd 0.451 0.549 0.270
Cd 0.549 0.451 0.770
Se 0.059 0.941 0.888
Se 0.282 0.718 0.484
Se 0.302 0.698 0.196
Se 0.364 0.636 0.824
Se 0.496 0.504 0.589
Se 0.504 0.496 0.089
Se 0.636 0.364 0.324
Se 0.698 0.302 0.696
Se 0.718 0.282 0.984
Se 0.941 0.059 0.388

Computed properties:
As for the space group: Cmc2_1, No. 36. As for the crystal system: orthorhombic.


Density functional theory data (PBE) for a relaxed structure of NpTl2CdSe4.

a b c (Å): 7.145 4.186 8.146
angles (deg): 90.00 108.28 90.00
Fractional coordinates of all 8 atoms:
Np 0.000 0.000 0.000
Tl 0.000 0.500 0.500
Tl 0.500 0.000 0.500
Cd 0.500 0.500 0.000
Se 0.222 0.500 0.210
Se 0.263 0.000 0.801
Se 0.737 0.000 0.199
Se 0.778 0.500 0.790

Computed properties:
As for the space group: P2/m, No. 10. As for the crystal system: monoclinic.


no.,size of the total moment (μB per formula unit),DFT total energy (eV/f.u.)
1,3.8,-70.406
2,8.6,-97.265
3,3.0,-47.056
4,3.0,-38.073